# 1
The following is a DFT calculation (GGA-PBEsol) of a relaxed structure of P2Pb3S8.

Output
volume = 317.13 Å³/f.u.
total magnetic moment = 0.0 μB per formula unit
E = -4.950 eV per atom

```
data_P2Pb3S8
_chemical_formula_sum 'P8 Pb12 S32'
_space_group_name_H-M_alt 'P 1'
_space_group_IT_number 1
_cell_length_a 10.825
_cell_length_b 10.825
_cell_length_c 10.825
_cell_angle_alpha 90.00
_cell_angle_beta 90.00
_cell_angle_gamma 90.00
loop_
_space_group_symop_operation_xyz
'x,y,z'
loop_
_atom_site_label
_atom_site_type_symbol
_atom_site_fract_x
_atom_site_fract_y
_atom_site_fract_z
S1 S 0.006 0.257 0.090
S2 S 0.494 0.743 0.590
S3 S 0.708 0.951 0.772
S4 S 0.951 0.772 0.708
S5 S 0.043 0.457 0.543
S6 S 0.506 0.243 0.910
S7 S 0.257 0.090 0.006
S8 S 0.590 0.494 0.743
S9 S 0.243 0.910 0.506
S10 S 0.292 0.451 0.728
S11 S 0.994 0.757 0.410
S12 S 0.457 0.543 0.043
S13 S 0.792 0.049 0.272
S14 S 0.539 0.961 0.039
S15 S 0.208 0.549 0.228
S16 S 0.549 0.228 0.208
S17 S 0.039 0.539 0.961
S18 S 0.451 0.728 0.292
S19 S 0.772 0.708 0.951
S20 S 0.049 0.272 0.792
S21 S 0.728 0.292 0.451
S22 S 0.961 0.039 0.539
S23 S 0.228 0.208 0.549
S24 S 0.743 0.590 0.494
S25 S 0.910 0.506 0.243
S26 S 0.410 0.994 0.757
S27 S 0.957 0.957 0.957
S28 S 0.090 0.006 0.257
S29 S 0.543 0.043 0.457
S30 S 0.461 0.461 0.461
S31 S 0.272 0.792 0.049
S32 S 0.757 0.410 0.994
Pb1 Pb 0.138 0.027 0.743
Pb2 Pb 0.473 0.257 0.638
Pb3 Pb 0.743 0.138 0.027
Pb4 Pb 0.638 0.473 0.257
Pb5 Pb 0.027 0.743 0.138
Pb6 Pb 0.257 0.638 0.473
Pb7 Pb 0.862 0.527 0.757
Pb8 Pb 0.362 0.973 0.243
Pb9 Pb 0.757 0.862 0.527
Pb10 Pb 0.527 0.757 0.862
Pb11 Pb 0.973 0.243 0.362
Pb12 Pb 0.243 0.362 0.973
P1 P 0.428 0.072 0.928
P2 P 0.151 0.349 0.651
P3 P 0.072 0.928 0.428
P4 P 0.849 0.849 0.849
P5 P 0.572 0.572 0.572
P6 P 0.651 0.151 0.349
P7 P 0.349 0.651 0.151
P8 P 0.928 0.428 0.072
```



# 2
The following is a DFT calculation (GGA-PBEsol) of a relaxed structure of PPbS2.

Output
volume = 75.31 Å³/f.u.
total magnetic moment = 0.0 μB per formula unit
E = -4.302 eV per atom

```
data_PPbS2
_chemical_formula_sum 'P1 Pb1 S2'
_space_group_name_H-M_alt 'P 1'
_space_group_IT_number 1
_cell_length_a 4.740
_cell_length_b 4.740
_cell_length_c 4.740
_cell_angle_alpha 60.00
_cell_angle_beta 60.00
_cell_angle_gamma 60.00
loop_
_space_group_symop_operation_xyz
'x,y,z'
loop_
_atom_site_label
_atom_site_type_symbol
_atom_site_fract_x
_atom_site_fract_y
_atom_site_fract_z
Pb1 Pb 0.500 0.500 0.500
S1 S 0.250 0.250 0.250
S2 S 0.750 0.750 0.750
P1 P 0.000 0.000 0.000
```



# 3
The following is a DFT calculation (GGA-PBEsol) of a relaxed structure of SrP2PbS.

Output
volume = 148.41 Å³/f.u.
total magnetic moment = 0.0 μB per formula unit
E = -3.626 eV per atom

```
data_SrP2PbS
_chemical_formula_sum 'Sr1 P2 Pb1 S1'
_space_group_name_H-M_alt 'P 1'
_space_group_IT_number 1
_cell_length_a 5.287
_cell_length_b 5.287
_cell_length_c 5.310
_cell_angle_alpha 90.00
_cell_angle_beta 90.00
_cell_angle_gamma 90.00
loop_
_space_group_symop_operation_xyz
'x,y,z'
loop_
_atom_site_label
_atom_site_type_symbol
_atom_site_fract_x
_atom_site_fract_y
_atom_site_fract_z
P1 P 0.000 0.500 0.000
P2 P 0.500 0.000 0.000
Pb1 Pb 0.500 0.500 0.500
S1 S 0.000 0.000 0.500
Sr1 Sr 0.000 0.000 0.000
```



# 4
The following is a DFT calculation (GGA-PBEsol) of a relaxed structure of TaPPbS2.

Output
volume = 120.27 Å³/f.u.
total magnetic moment = 1.6 μB per formula unit
E = -4.723 eV per atom

```
data_TaPPbS2
_chemical_formula_sum 'Ta1 P1 Pb1 S2'
_space_group_name_H-M_alt 'P 1'
_space_group_IT_number 1
_cell_length_a 4.912
_cell_length_b 4.912
_cell_length_c 4.985
_cell_angle_alpha 90.00
_cell_angle_beta 90.00
_cell_angle_gamma 90.00
loop_
_space_group_symop_operation_xyz
'x,y,z'
loop_
_atom_site_label
_atom_site_type_symbol
_atom_site_fract_x
_atom_site_fract_y
_atom_site_fract_z
Pb1 Pb 0.000 0.000 0.000
S1 S 0.000 0.500 0.000
S2 S 0.500 0.000 0.000
Ta1 Ta 0.500 0.500 0.500
P1 P 0.000 0.000 0.500
```



# 5
The following is a DFT calculation (GGA-PBEsol) of a relaxed structure of ZnP2PbS.

Output
volume = 135.85 Å³/f.u.
total magnetic moment = 1.3 μB per formula unit
E = -2.998 eV per atom

```
data_ZnP2PbS
_chemical_formula_sum 'Zn1 P2 Pb1 S1'
_space_group_name_H-M_alt 'P 1'
_space_group_IT_number 1
_cell_length_a 5.064
_cell_length_b 5.179
_cell_length_c 5.179
_cell_angle_alpha 90.00
_cell_angle_beta 90.00
_cell_angle_gamma 90.00
loop_
_space_group_symop_operation_xyz
'x,y,z'
loop_
_atom_site_label
_atom_site_type_symbol
_atom_site_fract_x
_atom_site_fract_y
_atom_site_fract_z
P1 P 0.000 0.500 0.000
P2 P 0.000 0.000 0.500
Zn1 Zn 0.500 0.500 0.500
Pb1 Pb 0.000 0.000 0.000
S1 S 0.500 0.000 0.000
```



# 6
The following is a DFT calculation (GGA-PBEsol) of a relaxed structure of ZrP2PbS.

Output
volume = 121.32 Å³/f.u.
total magnetic moment = 0.0 μB per formula unit
E = -4.830 eV per atom

```
data_ZrP2PbS
_chemical_formula_sum 'Zr1 P2 Pb1 S1'
_space_group_name_H-M_alt 'P 1'
_space_group_IT_number 1
_cell_length_a 4.944
_cell_length_b 4.944
_cell_length_c 4.963
_cell_angle_alpha 90.00
_cell_angle_beta 90.00
_cell_angle_gamma 90.00
loop_
_space_group_symop_operation_xyz
'x,y,z'
loop_
_atom_site_label
_atom_site_type_symbol
_atom_site_fract_x
_atom_site_fract_y
_atom_site_fract_z
S1 S 0.000 0.000 0.500
P1 P 0.500 0.000 0.000
P2 P 0.000 0.500 0.000
Zr1 Zr 0.500 0.500 0.500
Pb1 Pb 0.000 0.000 0.000
```



| no. | E_form (uncorrected) (eV/atom) |
| --- | --- |
| 1 | -0.439 |
| 2 | 0.337 |
| 3 | 0.735 |
| 4 | 1.499 |
| 5 | 1.311 |
| 6 | 0.981 |